# 1
{
  "formula": "CuOsF3",
  "functional": "GGA-PBEsol",
  "state": "relaxed",
  "lattice_angstrom": [[4.075, 0.000, 0.000], [0.000, 4.075, 0.000], [0.000, 0.000, 4.075]],
  "species": ["F", "F", "F", "Cu", "Os"],
  "fractional_positions": [[0.000, 0.500, 0.000], [0.000, 0.000, 0.500], [0.500, 0.000, 0.000], [0.500, 0.500, 0.500], [0.000, 0.000, 0.000]],
  "raw_formation_energy_ev_per_fu": -0.82,
  "m_tot_mub_per_cell": 0.007,
  "total_energy_ev_per_cell": -23.16
}

=====

# 2
{
  "formula": "Cu2OsF",
  "functional": "GGA-PBEsol",
  "state": "relaxed",
  "lattice_angstrom": [[4.133, 0.000, 0.000], [2.067, 3.580, 0.000], [2.067, 1.193, 3.375]],
  "species": ["Cu", "F", "Cu", "Os"],
  "fractional_positions": [[0.250, 0.250, 0.250], [0.000, 0.000, 0.000], [0.750, 0.750, 0.750], [0.500, 0.500, 0.500]],
  "raw_formation_energy_ev_per_fu": 2.85,
  "m_tot_mub_per_cell": 2.266,
  "total_energy_ev_per_cell": -19.96
}

=====

# 3
{
  "formula": "CuOs3F",
  "functional": "GGA-PBEsol",
  "state": "relaxed",
  "lattice_angstrom": [[-0.144, -0.709, -4.060], [1.577, -3.762, 0.601], [-3.807, -1.531, 0.402]],
  "species": ["Cu", "Os", "Os", "Os", "F"],
  "fractional_positions": [[0.500, 0.500, 0.500], [0.000, 0.000, 0.500], [0.000, 0.500, 0.000], [0.500, 0.000, 0.000], [0.000, 0.000, 0.000]],
  "raw_formation_energy_ev_per_fu": 9.32,
  "m_tot_mub_per_cell": 1.683,
  "polymorph_energy_ev_per_atom": 0.000,
  "total_energy_ev_per_cell": -33.59
}

=====

# 4
{
  "formula": "CuOsS2F",
  "functional": "GGA-PBEsol",
  "state": "relaxed",
  "lattice_angstrom": [[-1.320, -3.182, -0.311], [3.986, -1.514, -1.427], [1.177, -0.903, 4.244]],
  "species": ["S", "Cu", "Os", "F", "S"],
  "fractional_positions": [[0.000, 0.500, 0.000], [0.000, 0.000, 0.000], [0.500, 0.500, 0.500], [0.500, 0.000, 0.000], [0.000, 0.000, 0.500]],
  "raw_formation_energy_ev_per_fu": 2.48,
  "m_tot_mub_per_cell": 0.411,
  "total_energy_ev_per_cell": -24.77
}

=====

# 5
{
  "formula": "CuP2F",
  "functional": "GGA-PBEsol",
  "state": "relaxed",
  "lattice_angstrom": [[-1.964, 2.745, 0.510], [-2.791, -1.948, -0.266], [2.580, -1.892, 8.695]],
  "species": ["P", "P", "F", "P", "P", "Cu", "F", "Cu"],
  "fractional_positions": [[0.125, 0.081, 0.750], [0.919, 0.375, 0.250], [0.750, 0.250, 0.500], [0.331, 0.875, 0.250], [0.625, 0.669, 0.750], [0.000, 0.000, 0.000], [0.500, 0.500, 0.000], [0.250, 0.750, 0.500]],
  "raw_formation_energy_ev_per_fu": -0.89,
  "m_tot_mub_per_cell": 0.000,
  "total_energy_ev_per_cell": -37.46
}

=====

# 6
{
  "formula": "CuPF3",
  "functional": "GGA-PBEsol",
  "state": "relaxed",
  "lattice_angstrom": [[-2.267, -3.241, -0.167], [3.187, -2.184, -0.865], [0.616, -0.630, 3.859]],
  "species": ["Cu", "P", "F", "F", "F"],
  "fractional_positions": [[0.000, 0.000, 0.000], [0.500, 0.500, 0.500], [0.000, 0.500, 0.000], [0.500, 0.000, 0.000], [0.000, 0.000, 0.500]],
  "raw_formation_energy_ev_per_fu": -2.91,
  "m_tot_mub_per_cell": 1.999,
  "total_energy_ev_per_cell": -18.82
}

=====

# 7
{
  "formula": "PaCuF6",
  "functional": "GGA-PBEsol",
  "state": "relaxed",
  "lattice_angstrom": [[5.340, 0.000, 0.000], [2.670, 4.625, 0.000], [2.670, 1.542, 5.020]],
  "species": ["Pa", "F", "Cu", "F", "F", "F", "F", "F"],
  "fractional_positions": [[0.500, 0.500, 0.500], [0.888, 0.245, 0.254], [0.000, 0.000, 0.000], [0.613, 0.888, 0.254], [0.245, 0.613, 0.254], [0.755, 0.387, 0.746], [0.112, 0.755, 0.746], [0.387, 0.112, 0.746]],
  "raw_formation_energy_ev_per_fu": -24.37,
  "m_tot_mub_per_cell": 0.047,
  "total_energy_ev_per_cell": -50.50
}

=====

# 8
{
  "formula": "CuPb3F",
  "functional": "GGA-PBEsol",
  "state": "relaxed",
  "lattice_angstrom": [[-4.010, -1.800, -2.582], [2.998, -3.456, -2.247], [-0.957, -3.286, 3.777]],
  "species": ["Pb", "Pb", "F", "Pb", "Cu"],
  "fractional_positions": [[0.000, 0.500, 0.000], [0.500, 0.000, 0.000], [0.500, 0.500, 0.500], [0.000, 0.000, 0.500], [0.000, 0.000, 0.000]],
  "raw_formation_energy_ev_per_fu": -0.08,
  "m_tot_mub_per_cell": 0.000,
  "total_energy_ev_per_cell": -18.34
}

=====

# 9
{
  "formula": "CuPdF2",
  "functional": "GGA-PBEsol",
  "state": "relaxed",
  "lattice_angstrom": [[3.986, 0.000, 0.000], [1.993, 3.452, 0.000], [1.993, 1.151, 3.254]],
  "species": ["Pd", "F", "Cu", "F"],
  "fractional_positions": [[0.500, 0.500, 0.500], [0.750, 0.750, 0.750], [0.000, 0.000, 0.000], [0.250, 0.250, 0.250]],
  "raw_formation_energy_ev_per_fu": -1.64,
  "m_tot_mub_per_cell": 1.150,
  "total_energy_ev_per_cell": -15.79
}

=====

# 10
{
  "formula": "RbCuF3",
  "functional": "GGA-PBEsol",
  "state": "relaxed",
  "lattice_angstrom": [[4.045, 0.000, 0.000], [0.000, 4.045, 0.000], [0.000, 0.000, 4.045]],
  "species": ["Rb", "Cu", "F", "F", "F"],
  "fractional_positions": [[0.500, 0.500, 0.500], [0.000, 0.000, 0.000], [0.000, 0.500, 0.000], [0.000, 0.000, 0.500], [0.500, 0.000, 0.000]],
  "raw_formation_energy_ev_per_fu": -10.43,
  "m_tot_mub_per_cell": 0.002,
  "total_energy_ev_per_cell": -21.57
}

=====

# 11
{
  "formula": "Rb2CuF4",
  "functional": "GGA-PBEsol",
  "state": "relaxed",
  "lattice_angstrom": [[-0.839, -3.693, -1.639], [-0.780, -1.495, 3.767], [-5.605, 4.333, -1.701]],
  "species": ["F", "F", "F", "Rb", "Cu", "F", "Rb"],
  "fractional_positions": [[0.853, 0.853, 0.707], [0.500, 0.000, 0.000], [0.147, 0.147, 0.293], [0.356, 0.356, 0.712], [0.000, 0.000, 0.000], [0.000, 0.500, 0.000], [0.644, 0.644, 0.288]],
  "raw_formation_energy_ev_per_fu": -15.92,
  "m_tot_mub_per_cell": 1.005,
  "total_energy_ev_per_cell": -30.02
}

=====

# 12
{
  "formula": "Rb2CuF6",
  "functional": "GGA-PBEsol",
  "state": "relaxed",
  "lattice_angstrom": [[5.915, 0.000, 0.000], [2.957, 5.122, 0.000], [2.957, 1.707, 4.829]],
  "species": ["F", "Rb", "Cu", "F", "Rb", "F", "F", "F", "F"],
  "fractional_positions": [[0.219, 0.781, 0.781], [0.750, 0.750, 0.750], [0.000, 0.000, 0.000], [0.781, 0.781, 0.219], [0.250, 0.250, 0.250], [0.781, 0.219, 0.781], [0.781, 0.219, 0.219], [0.219, 0.781, 0.219], [0.219, 0.219, 0.781]],
  "raw_formation_energy_ev_per_fu": -17.95,
  "m_tot_mub_per_cell": 1.004,
  "total_energy_ev_per_cell": -35.90
}

=====

# 13
{
  "formula": "RbCuF3",
  "functional": "GGA-PBEsol",
  "state": "relaxed",
  "lattice_angstrom": [[5.726, -0.075, -0.111], [-2.709, 5.045, 0.111], [-2.709, -1.756, 4.731]],
  "species": ["F", "F", "F", "F", "Rb", "F", "Cu", "Rb", "Cu", "F"],
  "fractional_positions": [[0.500, 0.250, 0.750], [0.966, 0.233, 0.733], [0.500, 0.750, 0.250], [0.034, 0.767, 0.267], [0.000, 0.250, 0.250], [0.500, 0.733, 0.767], [0.500, 0.500, 0.000], [0.000, 0.750, 0.750], [0.500, 0.000, 0.500], [0.500, 0.267, 0.233]],
  "raw_formation_energy_ev_per_fu": -10.44,
  "m_tot_mub_per_cell": 0.002,
  "total_energy_ev_per_cell": -43.16
}

=====

# 14
{
  "formula": "RbVCuF6",
  "functional": "GGA-PBEsol",
  "state": "relaxed",
  "lattice_angstrom": [[6.800, 0.000, 0.000], [0.000, 7.407, 0.000], [0.000, 0.000, 10.130]],
  "species": ["Cu", "Rb", "Cu", "Rb", "F", "V", "F", "F", "F", "F", "F", "F", "F", "V", "F", "Rb", "Rb", "F", "F", "F", "F", "F", "F", "Cu", "F", "F", "V", "F", "F", "F", "F", "Cu", "F", "F", "V", "F"],
  "fractional_positions": [[0.189, 0.250, 0.261], [0.013, 0.250, 0.612], [0.311, 0.750, 0.761], [0.513, 0.250, 0.888], [0.741, 0.945, 0.577], [0.000, 0.000, 0.000], [0.259, 0.055, 0.423], [0.570, 0.750, 0.831], [0.420, 0.750, 0.503], [0.887, 0.472, 0.834], [0.241, 0.555, 0.923], [0.930, 0.250, 0.331], [0.613, 0.528, 0.334], [0.500, 0.500, 0.500], [0.387, 0.472, 0.666], [0.487, 0.750, 0.112], [0.987, 0.750, 0.388], [0.887, 0.028, 0.834], [0.113, 0.972, 0.166], [0.070, 0.750, 0.669], [0.613, 0.972, 0.334], [0.741, 0.555, 0.577], [0.580, 0.250, 0.497], [0.689, 0.250, 0.239], [0.759, 0.055, 0.077], [0.920, 0.750, 0.997], [0.500, 0.000, 0.500], [0.759, 0.445, 0.077], [0.259, 0.445, 0.423], [0.387, 0.028, 0.666], [0.113, 0.528, 0.166], [0.811, 0.750, 0.739], [0.080, 0.250, 0.003], [0.241, 0.945, 0.923], [0.000, 0.500, 0.000], [0.430, 0.250, 0.169]],
  "raw_formation_energy_ev_per_fu": -22.42,
  "m_tot_mub_per_cell": 3.999,
  "total_energy_ev_per_cell": -195.92
}

=====

# 15
{
  "formula": "Cu2ReWF",
  "functional": "GGA-PBEsol",
  "state": "relaxed",
  "lattice_angstrom": [[4.659, 0.000, 0.000], [0.000, 4.659, 0.000], [0.000, 0.000, 4.630]],
  "species": ["Re", "F", "W", "Cu", "Cu"],
  "fractional_positions": [[0.000, 0.000, 0.500], [0.500, 0.500, 0.500], [0.000, 0.000, 0.000], [0.500, 0.000, 0.000], [0.000, 0.500, 0.000]],
  "raw_formation_energy_ev_per_fu": 9.42,
  "m_tot_mub_per_cell": 1.315,
  "total_energy_ev_per_cell": -28.32
}

=====

# 16
{
  "formula": "CuRh3F",
  "functional": "GGA-PBEsol",
  "state": "relaxed",
  "lattice_angstrom": [[4.463, 0.000, 0.000], [0.000, 4.463, 0.000], [0.000, 0.000, 4.463]],
  "species": ["F", "Rh", "Cu", "Rh", "Rh"],
  "fractional_positions": [[0.500, 0.500, 0.500], [0.500, 0.000, 0.000], [0.000, 0.000, 0.000], [0.000, 0.500, 0.000], [0.000, 0.000, 0.500]],
  "raw_formation_energy_ev_per_fu": 7.67,
  "m_tot_mub_per_cell": 3.953,
  "total_energy_ev_per_cell": -23.01
}

=====

# 17
{
  "formula": "CuS3F",
  "functional": "GGA-PBEsol",
  "state": "relaxed",
  "lattice_angstrom": [[4.396, 0.000, 0.000], [0.000, 4.396, 0.000], [0.000, 0.000, 4.396]],
  "species": ["Cu", "S", "F", "S", "S"],
  "fractional_positions": [[0.000, 0.000, 0.000], [0.000, 0.000, 0.500], [0.500, 0.500, 0.500], [0.500, 0.000, 0.000], [0.000, 0.500, 0.000]],
  "raw_formation_energy_ev_per_fu": 3.07,
  "m_tot_mub_per_cell": 0.003,
  "total_energy_ev_per_cell": -16.35
}

=====

# 18
{
  "formula": "Cu2SF",
  "functional": "GGA-PBEsol",
  "state": "relaxed",
  "lattice_angstrom": [[4.817, 0.000, 0.000], [0.000, 4.817, 0.000], [-2.408, -2.408, 5.220]],
  "species": ["Cu", "Cu", "Cu", "F", "Cu", "S", "F", "S"],
  "fractional_positions": [[0.625, 0.621, 0.750], [0.125, 0.129, 0.750], [0.871, 0.375, 0.250], [0.750, 0.250, 0.500], [0.379, 0.875, 0.250], [0.250, 0.750, 0.500], [0.500, 0.500, 0.000], [0.000, 0.000, 0.000]],
  "raw_formation_energy_ev_per_fu": -2.23,
  "m_tot_mub_per_cell": 0.003,
  "total_energy_ev_per_cell": -34.42
}

=====

# 19
{
  "formula": "Cu3SF",
  "functional": "GGA-PBEsol",
  "state": "relaxed",
  "lattice_angstrom": [[-2.012, 0.557, -3.459], [-0.741, -3.966, -0.207], [-3.424, 0.531, 2.077]],
  "species": ["Cu", "Cu", "F", "S", "Cu"],
  "fractional_positions": [[0.000, 0.500, 0.000], [0.500, 0.000, 0.000], [0.000, 0.000, 0.000], [0.500, 0.500, 0.500], [0.000, 0.000, 0.500]],
  "raw_formation_energy_ev_per_fu": 0.54,
  "m_tot_mub_per_cell": 0.000,
  "total_energy_ev_per_cell": -18.77
}

=====

# 20
{
  "formula": "CuSeSF2",
  "functional": "GGA-PBEsol",
  "state": "relaxed",
  "lattice_angstrom": [[3.712, 0.000, 0.000], [0.000, 3.712, 0.000], [0.000, 0.000, 5.370]],
  "species": ["Cu", "F", "Se", "F", "S"],
  "fractional_positions": [[0.000, 0.000, 0.500], [0.500, 0.000, 0.000], [0.500, 0.500, 0.500], [0.000, 0.500, 0.000], [0.000, 0.000, 0.000]],
  "raw_formation_energy_ev_per_fu": -1.32,
  "m_tot_mub_per_cell": 0.284,
  "total_energy_ev_per_cell": -17.74
}